# 1
The following is a DFT calculation (PBE-GGA) of a geometry-optimized MoOs3I structure.

Computed properties:
The calculation puts the energy above the most stable polymorph in this dataset at 0 meV per atom. As for the space group: Pm-3m (221). The total magnetization comes out at 3.08 μB per cell. For the formation energy from raw total energies, the calculation gives 2.43 eV per atom.

a b c (Å): 4.779 4.779 4.779
angles (deg): 90.00 90.00 90.00
Sites, in units of the cell vectors:
Mo: 0.000 0.000 0.000
Os: 0.000 0.000 0.500
Os: 0.000 0.500 0.000
Os: 0.500 0.000 0.000
I: 0.500 0.500 0.500

=====

# 2
The following is a DFT calculation (PBE-GGA) of a geometry-optimized MoOs3I structure.

Computed properties:
The calculation puts the energy above the most stable polymorph in this dataset at 568 meV per atom. As for the space group: Pm-3m (221). The total magnetization comes out at 1.67 μB per cell. For the formation energy from raw total energies, the calculation gives 3.00 eV per atom.

a b c (Å): 4.765 4.765 4.765
angles (deg): 90.00 90.00 90.00
Sites, in units of the cell vectors:
Mo: 0.000 0.000 0.000
Os: 0.000 0.500 0.500
Os: 0.500 0.000 0.500
Os: 0.500 0.500 0.000
I: 0.500 0.500 0.500